1.
# AlCrIr2 (GGA-PBE, relaxed)
# Crystal system: orthorhombic
# Formation enthalpy at 0 K in eV/atom: -0.46
data_AlCrIr2
_cell_length_a 2.849
_cell_length_b 3.439
_cell_length_c 5.678
_cell_angle_alpha 90.00
_cell_angle_beta 90.00
_cell_angle_gamma 90.00
_space_group_name_H-M_alt 'P m m m'
_space_group_IT_number 47
_space_group_name_Hall '-P 2 2'
loop_
_atom_site_label
_atom_site_type_symbol
_atom_site_fract_x
_atom_site_fract_y
_atom_site_fract_z
Al1 Al 0.000 0.000 0.000
Cr1 Cr 0.000 0.000 0.500
Ir1 Ir 0.500 0.500 0.252

2.
# Y4AlSeS2 (GGA-PBE, relaxed)
# Crystal system: monoclinic
# Formation energy without anion corrections in eV per atom: -1.499
data_Y4AlSeS2
_cell_length_a 7.086
_cell_length_b 3.939
_cell_length_c 7.095
_cell_angle_alpha 90.00
_cell_angle_beta 108.53
_cell_angle_gamma 90.00
_space_group_name_H-M_alt 'P 1 2/m 1'
_space_group_IT_number 10
_space_group_name_Hall '-P 2y'
loop_
_atom_site_label
_atom_site_type_symbol
_atom_site_fract_x
_atom_site_fract_y
_atom_site_fract_z
Y1 Y 0.237 0.000 0.244
Y2 Y 0.238 0.500 0.741
Al1 Al 0.500 0.500 0.500
Se1 Se 0.500 0.000 0.000
S1 S 0.000 0.000 0.500
S2 S 0.000 0.500 0.000

3.
# Mg2TcHg (GGA-PBE, relaxed)
# Crystal system: tetragonal
# Formation enthalpy at 0 K in eV/atom: 0.11
data_Mg2TcHg
_cell_length_a 4.264
_cell_length_b 4.264
_cell_length_c 3.917
_cell_angle_alpha 90.00
_cell_angle_beta 90.00
_cell_angle_gamma 90.00
_space_group_name_H-M_alt 'P 4/m m m'
_space_group_IT_number 123
_space_group_name_Hall '-P 4 2'
loop_
_atom_site_label
_atom_site_type_symbol
_atom_site_fract_x
_atom_site_fract_y
_atom_site_fract_z
Mg1 Mg 0.000 0.500 0.000
Tc1 Tc 0.000 0.000 0.500
Hg1 Hg 0.500 0.500 0.500

4.
# LaTaIrC2 (GGA-PBE, relaxed)
# Crystal system: tetragonal
# Formation enthalpy at 0 K in eV/atom: 0.63
data_LaTaIrC2
_cell_length_a 4.235
_cell_length_b 4.235
_cell_length_c 5.106
_cell_angle_alpha 90.00
_cell_angle_beta 90.00
_cell_angle_gamma 90.00
_space_group_name_H-M_alt 'P 4/m m m'
_space_group_IT_number 123
_space_group_name_Hall '-P 4 2'
loop_
_atom_site_label
_atom_site_type_symbol
_atom_site_fract_x
_atom_site_fract_y
_atom_site_fract_z
La1 La 0.000 0.000 0.000
Ta1 Ta 0.500 0.500 0.500
Ir1 Ir 0.500 0.500 0.000
C1 C 0.000 0.500 0.500

5.
# MgSc2Os (GGA-PBE, relaxed)
# Crystal system: tetragonal
# Formation enthalpy at 0 K in eV/atom: -0.19
data_MgSc2Os
_cell_length_a 4.632
_cell_length_b 4.632
_cell_length_c 3.478
_cell_angle_alpha 90.00
_cell_angle_beta 90.00
_cell_angle_gamma 90.00
_space_group_name_H-M_alt 'P 4/m m m'
_space_group_IT_number 123
_space_group_name_Hall '-P 4 2'
loop_
_atom_site_label
_atom_site_type_symbol
_atom_site_fract_x
_atom_site_fract_y
_atom_site_fract_z
Mg1 Mg 0.000 0.000 0.000
Sc1 Sc 0.000 0.500 0.500
Os1 Os 0.500 0.500 0.000

6.
# Ce3PuTl (GGA-PBE, relaxed)
# Crystal system: triclinic
# Formation enthalpy at 0 K in eV/atom: -0.07
# ΔE to the lowest computed polymorph in meV per atom: 0
data_Ce3PuTl
_cell_length_a 7.037
_cell_length_b 7.040
_cell_length_c 7.995
_cell_angle_alpha 64.03
_cell_angle_beta 63.94
_cell_angle_gamma 60.03
_space_group_name_H-M_alt 'P 1'
_space_group_IT_number 1
_space_group_name_Hall 'P 1'
loop_
_atom_site_label
_atom_site_type_symbol
_atom_site_fract_x
_atom_site_fract_y
_atom_site_fract_z
Ce1 Ce 0.000 0.000 0.000
Ce2 Ce 0.001 0.512 0.001
Ce3 Ce 0.012 0.528 0.448
Ce4 Ce 0.515 0.000 0.000
Ce5 Ce 0.527 0.012 0.449
Ce6 Ce 0.528 0.528 0.447
Pu1 Pu 0.428 0.426 0.234
Pu2 Pu 0.768 0.767 0.212
Tl1 Tl 0.039 0.038 0.399
Tl2 Tl 0.567 0.567 0.815

no.,total magnetization (μB per cell),electronic total energy (eV/atom)
1,2.17,-8.24
2,0.00,-6.67
3,0.88,-3.35
4,0.00,-8.19
5,0.00,-6.56
6,5.80,-6.97